1.
Ba3Zn4Pd2: optimized geometry, PBE.

Unit cell a=4.5881 b=6.5005 c=9.1523 alpha=100.13 beta=90.00 gamma=110.67
Atoms (fractional coordinates):
1 Ba 0.6690 0.3380 0.6610
2 Ba 0.0000 0.0000 0.0000
3 Ba 0.3310 0.6620 0.3390
4 Zn 0.7224 0.4449 0.0605
5 Zn 0.2776 0.5551 0.9395
6 Zn 0.9468 0.8936 0.6192
7 Zn 0.0532 0.1064 0.3808
8 Pd 0.6096 0.2193 0.2769
9 Pd 0.3904 0.7807 0.7231

## Properties
Crystal system ... monoclinic
SG ... C2/m (12)
Calculated formation energy ... -343.4 kJ/mol of formula units

2.
CdRuCl2: optimized geometry, PBE.

Unit cell a=5.4609 b=5.4609 c=6.8324 alpha=66.87 beta=66.87 gamma=33.27
Each line ends with the local moment (μB).
Atoms (fractional coordinates):
1 Ru 0.4459 0.4459 0.3749  0.42
2 Cl 0.0146 0.0146 0.0855  0.02
3 Cl 0.8592 0.8592 0.6642  0.02
4 Cd 0.1803 0.1803 0.3754  -0.01

## Properties
Crystal system ... monoclinic
SG ... Cm (8)
ΔE_f (raw) ... -0.142 eV/atom

Values of energy above the lowest structure with this stoichiometry, in order: 0.0000 0.0534, all in eV/atom.